[1]
! Rb2BBrO (meta-GGA SCAN, single point on PBEsol structure); values from VASP
! E: -14.60 eV/atom
! Calculated density: 3143 kg/m³
! Formation energy without anion corrections: 1.6 eV per formula unit
! Density of states at the Fermi level: 0.34 states/eV/atom
&SYSTEM
  ibrav = 0, nat = 5, ntyp = 4
/
ATOMIC_SPECIES
Rb 85.47 Rb.upf
B 10.81 B.upf
Br 79.90 Br.upf
O 16.00 O.upf
ATOMIC_POSITIONS crystal
Rb 0.000 0.500 0.000
Rb 0.000 0.000 0.500
B 0.000 0.000 0.000
Br 0.500 0.000 0.000
O 0.500 0.500 0.500
CELL_PARAMETERS angstrom
4.238 0.000 0.000
0.000 5.883 0.000
0.000 0.000 5.883

***

[2]
! BSe2BrO (meta-GGA SCAN, single point on PBEsol structure); values from VASP
! E: -13.57 eV/atom
! Calculated density: 4293 kg/m³
! Formation energy without anion corrections: 5.4 eV per formula unit
! Density of states at the Fermi level: 0.58 states/eV/atom
&SYSTEM
  ibrav = 0, nat = 5, ntyp = 4
/
ATOMIC_SPECIES
B 10.81 B.upf
Se 78.96 Se.upf
O 16.00 O.upf
Br 79.90 Br.upf
ATOMIC_POSITIONS crystal
B 0.500 0.500 0.500
Se 0.000 0.500 0.000
Se 0.500 0.000 0.000
O 0.000 0.000 0.000
Br 0.000 0.000 0.500
CELL_PARAMETERS angstrom
-2.720 -2.276 -1.877
2.846 -1.352 -2.485
1.231 -4.777 4.009

***

[3]
! Sr5B3BrO9 (meta-GGA SCAN, single point on PBEsol structure); values from VASP
! E: -14.68 eV/atom
! Calculated density: 4345 kg/m³
! Formation energy without anion corrections: -55.1 eV per formula unit
! Density of states at the Fermi level: 0.00 states/eV/atom
&SYSTEM
  ibrav = 0, nat = 36, ntyp = 4
/
ATOMIC_SPECIES
O 16.00 O.upf
B 10.81 B.upf
Sr 87.62 Sr.upf
Br 79.90 Br.upf
ATOMIC_POSITIONS crystal
O 0.115 0.971 0.263
O 0.662 0.309 0.305
O 0.500 0.512 0.512
O 0.514 0.557 0.157
O 0.986 0.843 0.443
O 0.486 0.157 0.557
O 0.000 0.488 0.488
O 0.986 0.139 0.518
O 0.885 0.263 0.971
O 0.014 0.443 0.843
O 0.014 0.518 0.139
O 0.838 0.695 0.691
O 0.615 0.029 0.737
O 0.486 0.861 0.482
O 0.338 0.305 0.309
O 0.385 0.737 0.029
O 0.514 0.482 0.861
O 0.162 0.691 0.695
B 0.027 0.984 0.407
B 0.527 0.016 0.593
B 0.973 0.407 0.984
B 0.000 0.628 0.628
B 0.473 0.593 0.016
B 0.500 0.372 0.372
Sr 0.928 0.994 0.733
Sr 0.250 0.637 0.363
Sr 0.428 0.006 0.267
Sr 0.250 0.365 0.635
Sr 0.072 0.733 0.994
Sr 0.750 0.635 0.365
Sr 0.000 0.242 0.242
Sr 0.572 0.267 0.006
Sr 0.750 0.363 0.637
Sr 0.500 0.758 0.758
Br 0.750 0.940 0.060
Br 0.250 0.060 0.940
CELL_PARAMETERS angstrom
7.515 0.000 0.000
0.000 8.649 0.040
0.000 -2.892 8.152

***

[4]
! BTeBr2O (meta-GGA SCAN, single point on PBEsol structure); values from VASP
! E: -16.77 eV/atom
! Calculated density: 5069 kg/m³
! Formation energy without anion corrections: 6.0 eV per formula unit
! Density of states at the Fermi level: 0.71 states/eV/atom
&SYSTEM
  ibrav = 0, nat = 5, ntyp = 4
/
ATOMIC_SPECIES
Br 79.90 Br.upf
O 16.00 O.upf
B 10.81 B.upf
Te 127.60 Te.upf
ATOMIC_POSITIONS crystal
Br 0.000 0.500 0.000
Br 0.000 0.000 0.500
O 0.000 0.000 0.000
B 0.500 0.500 0.500
Te 0.500 0.000 0.000
CELL_PARAMETERS angstrom
-4.026 -1.662 -0.284
0.957 -1.549 -4.501
1.613 -4.214 1.794

***

[5]
! BOsBr2 (meta-GGA SCAN, single point on PBEsol structure); values from VASP
! E: -27.48 eV/atom
! Calculated density: 9567 kg/m³
! Formation energy without anion corrections: 8.3 eV per formula unit
! Relative energy among the computed polymorphs: 5.76 eV per formula unit
! Density of states at the Fermi level: 0.58 states/eV/atom
&SYSTEM
  ibrav = 0, nat = 4, ntyp = 3
/
ATOMIC_SPECIES
Br 79.90 Br.upf
B 10.81 B.upf
Os 190.23 Os.upf
ATOMIC_POSITIONS crystal
Br 0.250 0.250 0.250
Br 0.750 0.750 0.750
B 0.000 0.000 0.000
Os 0.500 0.500 0.500
CELL_PARAMETERS angstrom
-3.416 -2.687 -0.992
0.517 -3.241 -3.016
0.068 -4.264 1.299

***

[6]
! BOsBr2 (meta-GGA SCAN, single point on PBEsol structure); values from VASP
! E: -28.92 eV/atom
! Calculated density: 7159 kg/m³
! Formation energy without anion corrections: 2.6 eV per formula unit
! Relative energy among the computed polymorphs: 0.00 eV per formula unit
! Density of states at the Fermi level: 0.81 states/eV/atom
&SYSTEM
  ibrav = 0, nat = 8, ntyp = 3
/
ATOMIC_SPECIES
Br 79.90 Br.upf
Os 190.23 Os.upf
B 10.81 B.upf
ATOMIC_POSITIONS crystal
Br 0.980 0.145 0.645
Br 0.770 0.855 0.355
Br 0.875 0.355 0.145
Br 0.375 0.645 0.855
Os 0.000 0.000 0.000
Os 0.750 0.500 0.500
B 0.250 0.500 0.500
B 0.500 0.000 0.000
CELL_PARAMETERS angstrom
-0.020 2.128 -3.424
-6.284 -0.203 -2.462
-1.482 6.389 1.606

***

[7]
! B3OsBr (meta-GGA SCAN, single point on PBEsol structure); values from VASP
! E: -19.68 eV/atom
! Calculated density: 8121 kg/m³
! Formation energy without anion corrections: 15.2 eV per formula unit
! Density of states at the Fermi level: 0.44 states/eV/atom
&SYSTEM
  ibrav = 0, nat = 5, ntyp = 3
/
ATOMIC_SPECIES
B 10.81 B.upf
Br 79.90 Br.upf
Os 190.23 Os.upf
ATOMIC_POSITIONS crystal
B 0.000 0.500 0.000
B 0.500 0.000 0.000
B 0.000 0.000 0.500
Br 0.000 0.000 0.000
Os 0.500 0.500 0.500
CELL_PARAMETERS angstrom
-3.485 0.134 1.866
0.301 -3.853 0.838
1.846 0.880 3.385

***

[8]
! BPBr2 (meta-GGA SCAN, single point on PBEsol structure); values from VASP
! E: -13.15 eV/atom
! Calculated density: 3926 kg/m³
! Formation energy without anion corrections: 4.2 eV per formula unit
! Density of states at the Fermi level: 0.30 states/eV/atom
&SYSTEM
  ibrav = 0, nat = 4, ntyp = 3
/
ATOMIC_SPECIES
Br 79.90 Br.upf
B 10.81 B.upf
P 30.97 P.upf
ATOMIC_POSITIONS crystal
Br 0.066 0.066 0.802
Br 0.934 0.934 0.198
B 0.000 0.000 0.000
P 0.500 0.500 0.500
CELL_PARAMETERS angstrom
3.278 0.000 0.000
1.639 2.839 0.000
1.639 0.946 9.160

***

[9]
! BP2SBr (meta-GGA SCAN, single point on PBEsol structure); values from VASP
! E: -9.10 eV/atom
! Calculated density: 2793 kg/m³
! Formation energy without anion corrections: 11.8 eV per formula unit
! Density of states at the Fermi level: 0.73 states/eV/atom
&SYSTEM
  ibrav = 0, nat = 5, ntyp = 4
/
ATOMIC_SPECIES
B 10.81 B.upf
P 30.97 P.upf
Br 79.90 Br.upf
S 32.06 S.upf
ATOMIC_POSITIONS crystal
B 0.500 0.500 0.500
P 0.000 0.500 0.000
P 0.000 0.000 0.500
Br 0.000 0.000 0.000
S 0.500 0.000 0.000
CELL_PARAMETERS angstrom
4.766 0.000 0.000
0.000 4.801 0.000
0.000 0.000 4.801

***

[10]
! BTe2PBr (meta-GGA SCAN, single point on PBEsol structure); values from VASP
! E: -20.36 eV/atom
! Calculated density: 4377 kg/m³
! Formation energy without anion corrections: 10.0 eV per formula unit
! Density of states at the Fermi level: 0.88 states/eV/atom
&SYSTEM
  ibrav = 0, nat = 5, ntyp = 4
/
ATOMIC_SPECIES
Te 127.60 Te.upf
P 30.97 P.upf
B 10.81 B.upf
Br 79.90 Br.upf
ATOMIC_POSITIONS crystal
Te 0.000 0.500 0.000
Te 0.000 0.000 0.500
P 0.500 0.000 0.000
B 0.500 0.500 0.500
Br 0.000 0.000 0.000
CELL_PARAMETERS angstrom
4.847 0.000 0.000
0.000 5.431 0.000
0.000 0.000 5.431

***

[11]
! BPt2PbBr (meta-GGA SCAN, single point on PBEsol structure); values from VASP
! E: -48.57 eV/atom
! Calculated density: 11591 kg/m³
! Formation energy without anion corrections: 0.2 eV per formula unit
! Density of states at the Fermi level: 0.14 states/eV/atom
&SYSTEM
  ibrav = 0, nat = 5, ntyp = 4
/
ATOMIC_SPECIES
Pb 207.20 Pb.upf
Pt 195.08 Pt.upf
Br 79.90 Br.upf
B 10.81 B.upf
ATOMIC_POSITIONS crystal
Pb 0.000 0.000 0.500
Pt 0.500 0.000 0.000
Pt 0.000 0.500 0.000
Br 0.500 0.500 0.500
B 0.000 0.000 0.000
CELL_PARAMETERS angstrom
4.108 0.000 0.000
0.000 4.108 0.000
0.000 0.000 5.842

***

[12]
! B2PdBr2 (meta-GGA SCAN, single point on PBEsol structure); values from VASP
! E: -16.32 eV/atom
! Calculated density: 5622 kg/m³
! Formation energy without anion corrections: 5.0 eV per formula unit
! Density of states at the Fermi level: 0.34 states/eV/atom
&SYSTEM
  ibrav = 0, nat = 10, ntyp = 3
/
ATOMIC_SPECIES
Pd 106.42 Pd.upf
Br 79.90 Br.upf
B 10.81 B.upf
ATOMIC_POSITIONS crystal
Pd 0.000 0.000 0.000
Pd 0.000 0.500 0.500
Br 0.500 0.689 0.811
Br 0.500 0.811 0.311
Br 0.500 0.189 0.689
Br 0.500 0.311 0.189
B 0.000 0.726 0.774
B 0.000 0.774 0.274
B 0.000 0.274 0.226
B 0.000 0.226 0.726
CELL_PARAMETERS angstrom
-3.189 1.453 2.629
-3.888 0.260 -4.861
-1.768 -5.872 1.100

***

Copy entry 9 word for word.
! BP2SBr (meta-GGA SCAN, single point on PBEsol structure); values from VASP
! E: -9.10 eV/atom
! Calculated density: 2793 kg/m³
! Formation energy without anion corrections: 11.8 eV per formula unit
! Density of states at the Fermi level: 0.73 states/eV/atom
&SYSTEM
  ibrav = 0, nat = 5, ntyp = 4
/
ATOMIC_SPECIES
B 10.81 B.upf
P 30.97 P.upf
Br 79.90 Br.upf
S 32.06 S.upf
ATOMIC_POSITIONS crystal
B 0.500 0.500 0.500
P 0.000 0.500 0.000
P 0.000 0.000 0.500
Br 0.000 0.000 0.000
S 0.500 0.000 0.000
CELL_PARAMETERS angstrom
4.766 0.000 0.000
0.000 4.801 0.000
0.000 0.000 4.801

***

Q: What is the formula in the fifth record?
A: BOsBr2

***

Q: What is the formation energy without anion corrections in the tenth record?
A: 10.0 eV per formula unit